# Ca2LaVN4 | Alexandria | PBE-GGA | optimized geometry
data_Ca2LaVN4
_symmetry_space_group_name_H-M 'P m n 21'
_symmetry_Int_Tables_number 31
_cell_length_a 7.430
_cell_length_b 6.707
_cell_length_c 5.404
_cell_angle_alpha 90.00
_cell_angle_beta 90.00
_cell_angle_gamma 90.00
loop_
_symmetry_equiv_pos_as_xyz
'x,y,z'
'-x+1/2,-y,z+1/2'
'-x,y,z'
'x+1/2,-y,z+1/2'
loop_
_atom_site_label
_atom_site_type_symbol
_atom_site_fract_x
_atom_site_fract_y
_atom_site_fract_z
Ca1 Ca 0.244 0.163 0.000
La1 La 0.000 0.369 0.497
V1 V 0.000 0.683 0.033
N1 N 0.000 0.409 0.975
N2 N 0.000 0.692 0.365
N3 N 0.213 0.810 0.944
# - crystal system = orthorhombic

# CaLa2WN4 | Alexandria | PBE-GGA | optimized geometry
data_CaLa2WN4
_symmetry_space_group_name_H-M 'C m c m'
_symmetry_Int_Tables_number 63
_symmetry_space_group_name_Hall '-C 2c 2'
_cell_length_a 3.543
_cell_length_b 12.288
_cell_length_c 12.875
_cell_angle_alpha 90.00
_cell_angle_beta 90.00
_cell_angle_gamma 90.00
loop_
_atom_site_label
_atom_site_type_symbol
_atom_site_fract_x
_atom_site_fract_y
_atom_site_fract_z
Ca1 Ca 0.000 0.105 0.250
La1 La 0.000 0.368 0.035
W1 W 0.000 0.169 0.750
N1 N 0.000 0.000 0.000
N2 N 0.000 0.267 0.637
N3 N 0.000 0.409 0.250
# - crystal system = orthorhombic

| no. | formation energy without anion corrections (eV per atom) |
| --- | --- |
| 1 | -1.19 |
| 2 | -0.88 |